16
Lattice="-2.1382 -5.1080 2.4455 7.3261 -1.9237 2.3873 -0.9749 2.9962 5.4060" Properties=species:S:1:pos:R:3 comment="CdPdSO, optimized geometry, DFT PBE" sg="No. 19" pbc="T T T"
Cd 3.6962 -2.8196 2.3953
Cd -1.1056 -2.1599 4.4530
Cd 2.0287 -0.0226 4.1655
Cd 3.8068 -3.0688 9.4638
O -0.7001 -3.1330 2.5349
O 3.3520 -1.8627 4.3334
O 4.0825 -4.1895 7.6041
O 1.6916 1.1142 6.0052
Pd -0.0364 -5.0488 2.8269
Pd 4.8360 -0.5108 4.7412
Pd 3.6583 -3.0096 5.9842
Pd -0.0319 0.4983 6.9253
S 2.7447 -4.9348 4.9176
S 0.5706 -0.2350 2.1668
S 0.4324 -1.7564 6.3602
S 4.6784 -1.1446 7.0329

8
Lattice="-1.7165 0.7107 3.0793 -0.1234 -2.4781 2.6033 10.4752 4.5171 4.7964" Properties=species:S:1:pos:R:3 comment="CdPdSO, optimized geometry, DFT PBE" sg="No. 186" pbc="T T T"
Cd 2.2010 0.6245 3.1828
Cd 6.8253 2.2938 7.4753
O 3.4080 1.4696 1.5605
O 8.6456 3.7281 3.9587
Pd 0.0543 0.0234 0.0249
Pd 5.2920 2.2820 2.4231
S -0.2995 -0.7785 4.2130
S 5.5514 2.0692 4.7169

Ordered density results: 5.9; 6.4; unit g cm⁻³.
Ordered E_tot results: -4.28; -4.18; unit eV/atom.
Ordered volume results: 75.2; 69.3; unit Å³/f.u..